VASP calculation (GGA-PBE) on a relaxed structure of CsRb4Na5.

Calculated values
VASP energy (eV per atom): -1.096
Symmetry: P4/mmm, No. 123
Crystal system: tetragonal
Energy relative to the elements (eV/atom): 0.0364

Lattice parameters (Å, degrees): 5.0068 5.0068 25.1033 90.00 90.00 90.00
Fractional coordinates of all 10 atoms:
Cs  0.0000  0.0000  0.0000
Rb  0.0000  0.0000  0.2054
Rb  0.0000  0.0000  0.4015
Rb  0.0000  0.0000  0.5985
Rb  0.0000  0.0000  0.7946
Na  0.5000  0.5000  0.1114
Na  0.5000  0.5000  0.3034
Na  0.5000  0.5000  0.5000
Na  0.5000  0.5000  0.6966
Na  0.5000  0.5000  0.8886